First-principles (PBE-GGA) data for a geometry-optimized CaDy2Tl3Se6 structure, as listed in Alexandria via LeMat-Bulk.

abc: 7.3395 7.3395 7.8811
angles: 98.91 98.91 120.00
Sites, in units of the cell vectors:
1 Ca 0.0000 0.0000 0.0000
2 Dy 0.3326 0.6674 0.0000
3 Dy 0.6674 0.3326 0.0000
4 Tl 0.1644 0.8356 0.5000
5 Tl 0.5000 0.5000 0.5000
6 Tl 0.8356 0.1644 0.5000
7 Se 0.0708 0.4145 0.2119
8 Se 0.2744 0.2744 0.7916
9 Se 0.4145 0.0708 0.2119
10 Se 0.5855 0.9292 0.7881
11 Se 0.7256 0.7256 0.2084
12 Se 0.9292 0.5855 0.7881

Summary:
As for the uncorrected formation energy: -1.28 eV/atom.

First-principles (PBE-GGA) data for a geometry-optimized CaDy2Tm3Se6 structure, as listed in Alexandria via LeMat-Bulk.

abc: 9.0868 9.0868 8.1605
angles: 103.15 103.15 25.74
Sites, in units of the cell vectors:
1 Ca 0.0000 0.0000 0.0000
2 Dy 0.3286 0.3286 0.6575
3 Dy 0.6714 0.6714 0.3425
4 Tm 0.0000 0.0000 0.5000
5 Tm 0.3324 0.3324 0.1730
6 Tm 0.6676 0.6676 0.8270
7 Se 0.1630 0.1630 0.5858
8 Se 0.1679 0.1679 0.0792
9 Se 0.5003 0.5003 0.2546
10 Se 0.4997 0.4997 0.7454
11 Se 0.8321 0.8321 0.9208
12 Se 0.8370 0.8370 0.4142

Summary:
As for the uncorrected formation energy: -1.75 eV/atom.

First-principles (PBE-GGA) data for a geometry-optimized CaDyTm4Se8 structure, as listed in Alexandria via LeMat-Bulk.

abc: 8.3897 8.3897 8.3897
angles: 59.85 59.85 59.85
Sites, in units of the cell vectors:
1 Ca 0.0000 0.0000 0.0000
2 Dy 0.3723 0.3723 0.3723
3 Tm 0.3724 0.3724 0.8807
4 Tm 0.3724 0.8807 0.3724
5 Tm 0.7492 0.7492 0.7492
6 Tm 0.8807 0.3724 0.3724
7 Se 0.1328 0.1328 0.5937
8 Se 0.1328 0.5937 0.1328
9 Se 0.1353 0.1353 0.1353
10 Se 0.1467 0.6187 0.6187
11 Se 0.5937 0.1328 0.1328
12 Se 0.6165 0.6165 0.6165
13 Se 0.6187 0.1467 0.6187
14 Se 0.6187 0.6187 0.1467

Summary:
As for the uncorrected formation energy: -1.78 eV/atom.

First-principles (PBE-GGA) data for a geometry-optimized Ca3Dy3TmSe8 structure, as listed in Alexandria via LeMat-Bulk.

abc: 8.3100 8.3100 8.3100
angles: 59.00 59.00 59.00
Sites, in units of the cell vectors:
1 Ca 0.0000 0.5000 0.5000
2 Ca 0.5000 0.0000 0.5000
3 Ca 0.5000 0.5000 0.0000
4 Dy 0.0000 0.0000 0.5000
5 Dy 0.0000 0.5000 0.0000
6 Dy 0.5000 0.0000 0.0000
7 Tm 0.5000 0.5000 0.5000
8 Se 0.2484 0.2484 0.2484
9 Se 0.2490 0.7453 0.7453
10 Se 0.2547 0.2547 0.7510
11 Se 0.2547 0.7510 0.2547
12 Se 0.7453 0.2490 0.7453
13 Se 0.7453 0.7453 0.2490
14 Se 0.7510 0.2547 0.2547
15 Se 0.7516 0.7516 0.7516

Summary:
As for the uncorrected formation energy: -1.92 eV/atom.